Version P
# BeSbRu

An optimized crystal structure of BeSbRu (PBE-GGA, Alexandria).

Unit cell a=4.658 b=4.658 c=4.658 alpha=140.39 beta=136.32 gamma=60.42
Sites, in units of the cell vectors:
Sb 0.670 0.670 0.000
Be 0.988 0.988 0.000
Ru 0.342 0.342 0.000

## Properties
* mass density: 8.74 g/cm3
* total magnetization: 0.00 μB per formula unit



Version Q
# BeSbRu

An optimized crystal structure of BeSbRu (PBE-GGA, Alexandria).

Unit cell a=3.953 b=3.953 c=3.421 alpha=90.00 beta=90.00 gamma=120.00
Sites, in units of the cell vectors:
Sb 0.333 0.667 0.666
Be 0.000 0.000 0.167
Ru 0.667 0.333 0.167

## Properties
* mass density: 8.32 g/cm3
* total magnetization: 0.00 μB per formula unit



Last place for stability: version Q



Version P
# BeSbRu

An optimized crystal structure of BeSbRu (PBE-GGA, Alexandria).

Unit cell a=4.044 b=4.044 c=4.044 alpha=60.00 beta=60.00 gamma=60.00
Sites, in units of the cell vectors:
Sb 0.500 0.500 0.500
Be 0.250 0.250 0.250
Ru 0.000 0.000 0.000

## Properties
* mass density: 8.23 g/cm3
* total magnetization: 0.00 μB per formula unit



Version Q
# BeSbRu

An optimized crystal structure of BeSbRu (PBE-GGA, Alexandria).

Unit cell a=3.084 b=3.084 c=5.902 alpha=90.00 beta=90.00 gamma=120.00
Sites, in units of the cell vectors:
Sb 0.333 0.667 0.652
Be 0.000 0.000 0.043
Ru 0.667 0.333 0.305

## Properties
* mass density: 7.92 g/cm3
* total magnetization: 0.00 μB per formula unit



Version R
# BeSbRu

An optimized crystal structure of BeSbRu (PBE-GGA, Alexandria).

Unit cell a=4.190 b=4.190 c=4.190 alpha=60.00 beta=60.00 gamma=60.00
Sites, in units of the cell vectors:
Sb 0.000 0.000 0.000
Be 0.500 0.500 0.500
Ru 0.250 0.250 0.250

## Properties
* mass density: 7.40 g/cm3
* total magnetization: 0.00 μB per formula unit



Last place for stability: version Q



Version P
# BeSb2Ru2

An optimized crystal structure of BeSb2Ru2 (PBE-GGA, Alexandria).

Unit cell a=7.572 b=7.572 c=3.091 alpha=90.00 beta=90.00 gamma=90.00
Sites, in units of the cell vectors:
Sb 0.345 0.845 0.000
Sb 0.845 0.655 0.000
Sb 0.655 0.155 0.000
Sb 0.155 0.345 0.000
Be 0.000 0.000 0.000
Be 0.500 0.500 0.000
Ru 0.142 0.642 0.500
Ru 0.642 0.858 0.500
Ru 0.858 0.358 0.500
Ru 0.358 0.142 0.500

## Properties
* mass density: 8.52 g/cm3
* total magnetization: 0.00 μB per formula unit



Version Q
# BeSb2Ru2

An optimized crystal structure of BeSb2Ru2 (PBE-GGA, Alexandria).

Unit cell a=4.465 b=4.465 c=6.112 alpha=68.58 beta=68.58 gamma=90.00
Sites, in units of the cell vectors:
Sb 0.370 0.370 0.261
Sb 0.630 0.630 0.739
Be 0.000 0.000 0.000
Ru 0.750 0.250 0.500
Ru 0.250 0.750 0.500

## Properties
* mass density: 7.24 g/cm3
* total magnetization: 0.00 μB per formula unit



Last place for stability: version Q



Version P
# Be2SbRu2

An optimized crystal structure of Be2SbRu2 (PBE-GGA, Alexandria).

Unit cell a=6.679 b=6.679 c=3.070 alpha=90.00 beta=90.00 gamma=90.00
Sites, in units of the cell vectors:
Sb 0.000 0.000 0.000
Sb 0.500 0.500 0.000
Be 0.127 0.627 0.500
Be 0.627 0.873 0.500
Be 0.873 0.373 0.500
Be 0.373 0.127 0.500
Ru 0.347 0.847 0.000
Ru 0.847 0.653 0.000
Ru 0.653 0.153 0.000
Ru 0.153 0.347 0.000

## Properties
* mass density: 8.29 g/cm3
* total magnetization: 0.00 μB per formula unit



Version Q
# Be2SbRu2

An optimized crystal structure of Be2SbRu2 (PBE-GGA, Alexandria).

Unit cell a=6.414 b=6.414 c=3.083 alpha=90.00 beta=90.00 gamma=90.00
Sites, in units of the cell vectors:
Sb 0.000 0.000 0.000
Sb 0.500 0.500 0.000
Be 0.383 0.883 0.000
Be 0.883 0.617 0.000
Be 0.617 0.117 0.000
Be 0.117 0.383 0.000
Ru 0.168 0.668 0.500
Ru 0.668 0.832 0.500
Ru 0.832 0.332 0.500
Ru 0.332 0.168 0.500

## Properties
* mass density: 8.95 g/cm3
* total magnetization: 0.00 μB per formula unit



Last place for stability: version P



Version P
# BeSb2TeRu

An optimized crystal structure of BeSb2TeRu (PBE-GGA, Alexandria).

Unit cell a=4.704 b=4.704 c=4.932 alpha=90.00 beta=90.00 gamma=90.00
Site moments in Bohr magnetons follow the coordinates.
Sites, in units of the cell vectors:
Sb 0.000 0.500 0.000  0.00
Sb 0.500 0.000 0.000  0.00
Te 0.000 0.000 0.500  0.00
Be 0.000 0.000 0.000  0.00
Ru 0.500 0.500 0.500  0.15

## Properties
* mass density: 7.32 g/cm3
* total magnetization: 0.17 μB per formula unit



Version Q
# BeSb2TeRu

An optimized crystal structure of BeSb2TeRu (PBE-GGA, Alexandria).

Unit cell a=4.958 b=4.958 c=5.710 alpha=90.00 beta=90.00 gamma=90.00
Sites, in units of the cell vectors:
Sb 0.000 0.500 0.000
Sb 0.500 0.000 0.000
Te 0.000 0.000 0.500
Be 0.500 0.500 0.500
Ru 0.000 0.000 0.000

## Properties
* mass density: 5.69 g/cm3
* total magnetization: 0.00 μB per formula unit



Last place for stability: version P



Version P
# BeSbTe2Ru

An optimized crystal structure of BeSbTe2Ru (PBE-GGA, Alexandria).

Unit cell a=4.879 b=4.879 c=4.629 alpha=90.00 beta=90.00 gamma=90.00
Sites, in units of the cell vectors:
Sb 0.000 0.000 0.500
Te 0.000 0.500 0.000
Te 0.500 0.000 0.000
Be 0.000 0.000 0.000
Ru 0.500 0.500 0.500

## Properties
* mass density: 7.34 g/cm3
* total magnetization: 0.00 μB per formula unit



Version Q
# BeSbTe2Ru

An optimized crystal structure of BeSbTe2Ru (PBE-GGA, Alexandria).

Unit cell a=5.315 b=5.315 c=4.963 alpha=90.00 beta=90.00 gamma=90.00
Sites, in units of the cell vectors:
Sb 0.000 0.000 0.500
Te 0.000 0.500 0.000
Te 0.500 0.000 0.000
Be 0.500 0.500 0.500
Ru 0.000 0.000 0.000

## Properties
* mass density: 5.77 g/cm3
* total magnetization: 0.00 μB per formula unit



Last place for stability: version P



Version P
# Sc3BeRu

An optimized crystal structure of Sc3BeRu (PBE-GGA, Alexandria).

Unit cell a=4.647 b=4.647 c=4.647 alpha=90.00 beta=90.00 gamma=90.00
Sites, in units of the cell vectors:
Sc 0.000 0.500 0.000
Sc 0.000 0.000 0.500
Sc 0.500 0.000 0.000
Ru 0.500 0.500 0.500
Be 0.000 0.000 0.000

## Properties
* mass density: 4.05 g/cm3
* total magnetization: 0.00 μB per formula unit



Version Q
# Sc3BeRu

An optimized crystal structure of Sc3BeRu (PBE-GGA, Alexandria).

Unit cell a=4.939 b=4.939 c=4.939 alpha=90.00 beta=90.00 gamma=90.00
Sites, in units of the cell vectors:
Sc 0.000 0.500 0.000
Sc 0.000 0.000 0.500
Sc 0.500 0.000 0.000
Ru 0.000 0.000 0.000
Be 0.500 0.500 0.500

## Properties
* mass density: 3.38 g/cm3
* total magnetization: 0.00 μB per formula unit



Last place for stability: version P



Version P
# ScBeRu

An optimized crystal structure of ScBeRu (PBE-GGA, Alexandria).

Unit cell a=3.297 b=9.895 c=5.470 alpha=90.00 beta=90.00 gamma=90.00
Sites, in units of the cell vectors:
Sc 0.000 0.794 0.250
Sc 0.000 0.206 0.750
Sc 0.500 0.294 0.250
Sc 0.500 0.706 0.750
Ru 0.000 0.080 0.250
Ru 0.000 0.920 0.750
Ru 0.500 0.580 0.250
Ru 0.500 0.420 0.750
Be 0.000 0.500 0.000
Be 0.000 0.500 0.500
Be 0.500 0.000 0.000
Be 0.500 0.000 0.500

## Properties
* mass density: 5.77 g/cm3
* total magnetization: 0.00 μB per formula unit



Version Q
# ScBeRu

An optimized crystal structure of ScBeRu (PBE-GGA, Alexandria).

Unit cell a=4.943 b=4.943 c=3.135 alpha=71.50 beta=71.52 gamma=36.98
Sites, in units of the cell vectors:
Sc 0.670 0.670 0.330
Ru 0.366 0.366 0.634
Be 0.964 0.964 0.036

## Properties
* mass density: 5.93 g/cm3
* total magnetization: 0.00 μB per formula unit



Version R
# ScBeRu

An optimized crystal structure of ScBeRu (PBE-GGA, Alexandria).

Unit cell a=4.015 b=4.015 c=4.015 alpha=60.00 beta=60.00 gamma=60.00
Sites, in units of the cell vectors:
Sc 0.500 0.500 0.500
Ru 0.000 0.000 0.000
Be 0.250 0.250 0.250

## Properties
* mass density: 5.62 g/cm3
* total magnetization: 0.00 μB per formula unit



Version S
# ScBeRu

An optimized crystal structure of ScBeRu (PBE-GGA, Alexandria).

Unit cell a=3.170 b=3.170 c=5.270 alpha=90.00 beta=90.00 gamma=120.00
Sites, in units of the cell vectors:
Sc 0.333 0.667 0.662
Ru 0.667 0.333 0.290
Be 0.000 0.000 0.048

## Properties
* mass density: 5.61 g/cm3
* total magnetization: 0.00 μB per formula unit



Last place for stability: version S



Version P
# ScBeRu

An optimized crystal structure of ScBeRu (PBE-GGA, Alexandria).

Unit cell a=4.209 b=4.209 c=4.209 alpha=60.00 beta=60.00 gamma=60.00
Sites, in units of the cell vectors:
Sc 0.250 0.250 0.250
Ru 0.500 0.500 0.500
Be 0.000 0.000 0.000

## Properties
* mass density: 4.88 g/cm3
* total magnetization: 0.00 μB per formula unit



Version Q
# ScBeRu

An optimized crystal structure of ScBeRu (PBE-GGA, Alexandria).

Unit cell a=6.256 b=5.902 c=5.911 alpha=90.00 beta=118.26 gamma=90.00
Sites, in units of the cell vectors:
Sc 0.197 0.000 0.348
Sc 0.803 0.000 0.652
Sc 0.197 0.500 0.848
Sc 0.803 0.500 0.152
Ru 0.500 0.250 0.750
Ru 0.500 0.250 0.250
Ru 0.500 0.750 0.250
Ru 0.500 0.750 0.750
Be 0.688 0.000 0.094
Be 0.312 0.000 0.906
Be 0.688 0.500 0.594
Be 0.312 0.500 0.406

## Properties
* mass density: 5.36 g/cm3
* total magnetization: 0.00 μB per formula unit



Last place for stability: version P



Version P
# ScBeRu

An optimized crystal structure of ScBeRu (PBE-GGA, Alexandria).

Unit cell a=6.393 b=4.037 c=9.127 alpha=90.00 beta=130.97 gamma=90.00
Sites, in units of the cell vectors:
Sc 0.700 0.000 0.942
Sc 0.300 0.000 0.058
Sc 0.700 0.500 0.442
Sc 0.300 0.500 0.558
Ru 0.756 0.000 0.668
Ru 0.244 0.000 0.332
Ru 0.756 0.500 0.168
Ru 0.244 0.500 0.832
Be 0.881 0.000 0.328
Be 0.119 0.000 0.672
Be 0.881 0.500 0.828
Be 0.119 0.500 0.172

## Properties
* mass density: 5.79 g/cm3
* total magnetization: 0.00 μB per formula unit



Version Q
# ScBeRu

An optimized crystal structure of ScBeRu (PBE-GGA, Alexandria).

Unit cell a=3.245 b=9.515 c=5.779 alpha=90.00 beta=90.00 gamma=90.00
Sites, in units of the cell vectors:
Sc 0.000 0.184 0.250
Sc 0.000 0.816 0.750
Sc 0.500 0.684 0.250
Sc 0.500 0.316 0.750
Ru 0.000 0.500 0.000
Ru 0.000 0.500 0.500
Ru 0.500 0.000 0.000
Ru 0.500 0.000 0.500
Be 0.000 0.915 0.250
Be 0.000 0.085 0.750
Be 0.500 0.415 0.250
Be 0.500 0.585 0.750

## Properties
* mass density: 5.77 g/cm3
* total magnetization: 0.00 μB per formula unit



Last place for stability: version P



Version P
# ScBeRu

An optimized crystal structure of ScBeRu (PBE-GGA, Alexandria).

Unit cell a=4.941 b=4.941 c=4.941 alpha=87.58 beta=59.02 gamma=116.30
Sites, in units of the cell vectors:
Sc 0.750 0.878 0.372
Sc 0.250 0.122 0.628
Ru 0.500 0.000 0.000
Ru 0.000 0.500 0.000
Be 0.000 0.500 0.500
Be 0.500 0.500 0.000

## Properties
* mass density: 5.93 g/cm3
* total magnetization: 0.00 μB per formula unit



Version Q
# ScBeRu

An optimized crystal structure of ScBeRu (PBE-GGA, Alexandria).

Unit cell a=3.957 b=3.957 c=3.309 alpha=90.00 beta=90.00 gamma=120.00
Sites, in units of the cell vectors:
Sc 0.000 0.000 0.000
Ru 0.667 0.333 0.500
Be 0.333 0.667 0.500

## Properties
* mass density: 5.74 g/cm3
* total magnetization: 0.00 μB per formula unit



Last place for stability: version Q